# 1
# CoMoSe | Alexandria | PBE-GGA | optimized geometry
data_CoMoSe
_cell_length_a 5.7378
_cell_length_b 5.7378
_cell_length_c 5.7378
_cell_angle_alpha 90.00
_cell_angle_beta 90.00
_cell_angle_gamma 90.00
_space_group_name_H-M_alt 'F -4 3 m'
_space_group_IT_number 216
_space_group_name_Hall 'F -4 2 3'
loop_
_atom_site_label
_atom_site_type_symbol
_atom_site_fract_x
_atom_site_fract_y
_atom_site_fract_z
Co1 Co 0.0000 0.0000 0.0000
Mo1 Mo 0.2500 0.2500 0.2500
Se1 Se 0.2500 0.2500 0.7500
# formation energy (no corrections): 0.453 eV/atom


# 2
# CaCuHgRh2 | Alexandria | PBE-GGA | optimized geometry
data_CaCuHgRh2
_cell_length_a 5.0534
_cell_length_b 5.0534
_cell_length_c 4.7382
_cell_angle_alpha 90.00
_cell_angle_beta 90.00
_cell_angle_gamma 90.00
_space_group_name_H-M_alt 'P 4/m m m'
_space_group_IT_number 123
_space_group_name_Hall '-P 4 2'
loop_
_atom_site_label
_atom_site_type_symbol
_atom_site_fract_x
_atom_site_fract_y
_atom_site_fract_z
Ca1 Ca 0.0000 0.0000 0.0000
Cu1 Cu 0.5000 0.5000 0.0000
Hg1 Hg 0.5000 0.5000 0.5000
Rh1 Rh 0.0000 0.5000 0.5000
# DFT formation energy: 0.71 eV per atom


# 3
# NiHRh2Au | Alexandria | PBE-GGA | optimized geometry
data_NiHRh2Au
_cell_length_a 3.8704
_cell_length_b 3.8704
_cell_length_c 4.0883
_cell_angle_alpha 90.00
_cell_angle_beta 90.00
_cell_angle_gamma 90.00
_space_group_name_H-M_alt 'P 4/m m m'
_space_group_IT_number 123
_space_group_name_Hall '-P 4 2'
loop_
_atom_site_label
_atom_site_type_symbol
_atom_site_fract_x
_atom_site_fract_y
_atom_site_fract_z
Ni1 Ni 0.0000 0.0000 0.0000
H1 H 0.5000 0.5000 0.5000
Rh1 Rh 0.0000 0.5000 0.5000
Au1 Au 0.5000 0.5000 0.0000
# DFT total energy: -5.215 eV/atom


# 4
# KLa2RePt | Alexandria | PBE-GGA | optimized geometry
data_KLa2RePt
_cell_length_a 5.5892
_cell_length_b 5.5892
_cell_length_c 5.0561
_cell_angle_alpha 90.00
_cell_angle_beta 90.00
_cell_angle_gamma 90.00
_space_group_name_H-M_alt 'P 4/m m m'
_space_group_IT_number 123
_space_group_name_Hall '-P 4 2'
loop_
_atom_site_label
_atom_site_type_symbol
_atom_site_fract_x
_atom_site_fract_y
_atom_site_fract_z
K1 K 0.0000 0.0000 0.0000
La1 La 0.0000 0.5000 0.5000
Re1 Re 0.5000 0.5000 0.5000
Pt1 Pt 0.5000 0.5000 0.0000
# DFT formation energy: 0.20 eV per atom


# 5
# YNiS2Cl | Alexandria | PBE-GGA | optimized geometry
data_YNiS2Cl
_cell_length_a 5.2678
_cell_length_b 5.2678
_cell_length_c 5.1352
_cell_angle_alpha 90.00
_cell_angle_beta 90.00
_cell_angle_gamma 90.00
_space_group_name_H-M_alt 'P 4/m m m'
_space_group_IT_number 123
_space_group_name_Hall '-P 4 2'
loop_
_atom_site_label
_atom_site_type_symbol
_atom_site_fract_x
_atom_site_fract_y
_atom_site_fract_z
Y1 Y 0.0000 0.0000 0.0000
Ni1 Ni 0.5000 0.5000 0.5000
S1 S 0.0000 0.5000 0.0000
Cl1 Cl 0.0000 0.0000 0.5000
# formation energy (no corrections): -0.234 eV/atom


# 6
# WAuBr2 | Alexandria | PBE-GGA | optimized geometry
data_WAuBr2
_cell_length_a 4.4306
_cell_length_b 4.4306
_cell_length_c 7.8061
_cell_angle_alpha 90.00
_cell_angle_beta 90.00
_cell_angle_gamma 90.00
_space_group_name_H-M_alt 'I 4/m m m'
_space_group_IT_number 139
_space_group_name_Hall '-I 4 2'
loop_
_atom_site_label
_atom_site_type_symbol
_atom_site_fract_x
_atom_site_fract_y
_atom_site_fract_z
W1 W 0.0000 0.0000 0.0000
Au1 Au 0.0000 0.0000 0.5000
Br1 Br 0.0000 0.5000 0.2500
# formation energy (no corrections): 1.143 eV/atom


# 7
# TcAg3 | Alexandria | PBE-GGA | optimized geometry
data_TcAg3
_cell_length_a 5.9249
_cell_length_b 5.9249
_cell_length_c 9.3453
_cell_angle_alpha 90.00
_cell_angle_beta 90.00
_cell_angle_gamma 120.00
_space_group_name_H-M_alt 'P 63/m m c'
_space_group_IT_number 194
_space_group_name_Hall '-P 6c 2c'
loop_
_atom_site_label
_atom_site_type_symbol
_atom_site_fract_x
_atom_site_fract_y
_atom_site_fract_z
Tc1 Tc 0.0000 0.0000 0.0000
Tc2 Tc 0.3333 0.6667 0.2500
Ag1 Ag 0.0000 0.5000 0.0000
Ag2 Ag 0.1640 0.3280 0.7500
# DFT formation energy: 0.67 eV per atom


# 8
# AcNdPbSe | Alexandria | PBE-GGA | optimized geometry
data_AcNdPbSe
_cell_length_a 4.1322
_cell_length_b 4.1377
_cell_length_c 9.1618
_cell_angle_alpha 76.97
_cell_angle_beta 76.97
_cell_angle_gamma 60.14
_space_group_name_H-M_alt 'P 1'
_space_group_IT_number 1
loop_
_space_group_symop_operation_xyz
'x,y,z'
loop_
_atom_site_label
_atom_site_type_symbol
_atom_site_fract_x
_atom_site_fract_y
_atom_site_fract_z
Ac1 Ac 0.0000 0.0000 0.0000
Nd1 Nd 0.8086 0.8089 0.5752
Pb1 Pb 0.5687 0.5617 0.2977
Se1 Se 0.4090 0.4091 0.7737
# formation energy (no corrections): -1.070 eV/atom


# 9
# NdHo2Se | Alexandria | PBE-GGA | optimized geometry
data_NdHo2Se
_cell_length_a 3.7062
_cell_length_b 3.7062
_cell_length_c 31.3754
_cell_angle_alpha 90.00
_cell_angle_beta 90.00
_cell_angle_gamma 120.00
_space_group_name_H-M_alt 'R -3 m'
_space_group_IT_number 166
_space_group_name_Hall '-R 3 2"'
loop_
_atom_site_label
_atom_site_type_symbol
_atom_site_fract_x
_atom_site_fract_y
_atom_site_fract_z
Nd1 Nd 0.0000 0.0000 0.0000
Ho1 Ho 0.0000 0.0000 0.1094
Se1 Se 0.0000 0.0000 0.5000
# formation energy (no corrections): -0.570 eV/atom


# 10
# Cs2RbZrF6 | Alexandria | PBE-GGA | optimized geometry
data_Cs2RbZrF6
_cell_length_a 7.2157
_cell_length_b 7.2157
_cell_length_c 32.9802
_cell_angle_alpha 90.00
_cell_angle_beta 90.00
_cell_angle_gamma 120.00
_space_group_name_H-M_alt 'R -3 m'
_space_group_IT_number 166
_space_group_name_Hall '-R 3 2"'
loop_
_atom_site_label
_atom_site_type_symbol
_atom_site_fract_x
_atom_site_fract_y
_atom_site_fract_z
Cs1 Cs 0.0000 0.0000 0.1287
Cs2 Cs 0.0000 0.0000 0.2589
Rb1 Rb 0.0000 0.0000 0.3947
Zr1 Zr 0.0000 0.0000 0.0000
Zr2 Zr 0.0000 0.0000 0.5000
F1 F 0.0347 0.5173 0.1341
F2 F 0.0757 0.5378 0.7067
# formation energy (no corrections): -2.994 eV/atom


# 11
# Mn2NiRh | Alexandria | PBE-GGA | optimized geometry
data_Mn2NiRh
_cell_length_a 2.7240
_cell_length_b 4.3435
_cell_length_c 8.3923
_cell_angle_alpha 90.00
_cell_angle_beta 90.00
_cell_angle_gamma 90.00
_space_group_name_H-M_alt 'C m m 2'
_space_group_IT_number 35
loop_
_space_group_symop_operation_xyz
'x,y,z'
'-x,-y,z'
'-x,y,z'
'x,-y,z'
'x+1/2,y+1/2,z'
'-x+1/2,-y+1/2,z'
'-x+1/2,y+1/2,z'
'x+1/2,-y+1/2,z'
loop_
_atom_site_label
_atom_site_type_symbol
_atom_site_fract_x
_atom_site_fract_y
_atom_site_fract_z
Mn1 Mn 0.0000 0.0000 0.0000
Mn2 Mn 0.0000 0.5000 0.2405
Ni1 Ni 0.0000 0.0000 0.4794
Rh1 Rh 0.0000 0.5000 0.7451
# DFT formation energy: 0.20 eV per atom


# 12
# BaOsW3 | Alexandria | PBE-GGA | optimized geometry
data_BaOsW3
_cell_length_a 4.8478
_cell_length_b 4.8478
_cell_length_c 4.8478
_cell_angle_alpha 90.00
_cell_angle_beta 90.00
_cell_angle_gamma 90.00
_space_group_name_H-M_alt 'P m -3 m'
_space_group_IT_number 221
_space_group_name_Hall '-P 4 2 3'
loop_
_atom_site_label
_atom_site_type_symbol
_atom_site_fract_x
_atom_site_fract_y
_atom_site_fract_z
Ba1 Ba 0.0000 0.0000 0.0000
Os1 Os 0.5000 0.5000 0.5000
W1 W 0.0000 0.0000 0.5000
# DFT formation energy: 4.26 eV per atom


| no. | calculated density (g cm⁻³) | DOS at the Fermi energy (states/eV/atom) |
| --- | --- | --- |
| 1 | 8.22 | 1.488 |
| 2 | 7.00 | 0.974 |
| 3 | 12.54 | 1.661 |
| 4 | 7.34 | 1.154 |
| 5 | 2.88 | 1.753 |
| 6 | 11.72 | 0.712 |
| 7 | 9.86 | 1.108 |
| 8 | 8.32 | 0.608 |
| 9 | 7.38 | 1.428 |
| 10 | 3.73 | 0.251 |
| 11 | 9.08 | 1.726 |
| 12 | 12.81 | 1.466 |